{
  "formula": "Cs3In5Br12",
  "functional": "PBE",
  "state": "optimized geometry",
  "cell": [[16.691, 0.000, 0.000], [-5.564, 15.736, 0.000], [-5.564, -7.868, 13.628]],
  "species": ["Cs", "Cs", "Cs", "Cs", "Cs", "Cs", "Cs", "Cs", "Cs", "Cs", "Cs", "Cs", "In", "In", "In", "In", "In", "In", "In", "In", "In", "In", "In", "In", "In", "In", "In", "In", "In", "In", "In", "In", "Br", "Br", "Br", "Br", "Br", "Br", "Br", "Br", "Br", "Br", "Br", "Br", "Br", "Br", "Br", "Br", "Br", "Br", "Br", "Br", "Br", "Br", "Br", "Br", "Br", "Br", "Br", "Br", "Br", "Br", "Br", "Br", "Br", "Br", "Br", "Br", "Br", "Br", "Br", "Br", "Br", "Br", "Br", "Br", "Br", "Br", "Br", "Br"],
  "frac_coords": [[0.750, 0.375, 0.125], [0.875, 0.750, 0.125], [0.375, 0.750, 0.625], [0.250, 0.125, 0.375], [0.875, 0.125, 0.250], [0.375, 0.625, 0.250], [0.625, 0.375, 0.750], [0.125, 0.875, 0.750], [0.750, 0.875, 0.625], [0.625, 0.250, 0.375], [0.125, 0.250, 0.875], [0.250, 0.625, 0.875], [0.125, 0.375, 0.250], [0.000, 0.500, 0.000], [0.000, 0.000, 0.000], [0.375, 0.250, 0.125], [0.500, 0.000, 0.500], [0.500, 0.500, 0.000], [0.125, 0.750, 0.375], [0.750, 0.125, 0.875], [0.750, 0.625, 0.375], [0.375, 0.125, 0.750], [0.625, 0.875, 0.250], [0.500, 0.500, 0.500], [0.500, 0.000, 0.000], [0.000, 0.000, 0.500], [0.250, 0.375, 0.625], [0.250, 0.875, 0.125], [0.000, 0.500, 0.500], [0.875, 0.250, 0.625], [0.625, 0.750, 0.875], [0.875, 0.625, 0.750], [0.704, 0.116, 0.014], [0.310, 0.514, 0.398], [0.986, 0.384, 0.296], [0.514, 0.204, 0.116], [0.588, 0.704, 0.690], [0.986, 0.602, 0.190], [0.310, 0.796, 0.412], [0.102, 0.912, 0.116], [0.602, 0.986, 0.690], [0.704, 0.588, 0.190], [0.796, 0.486, 0.384], [0.810, 0.898, 0.014], [0.116, 0.704, 0.514], [0.384, 0.398, 0.088], [0.088, 0.898, 0.384], [0.412, 0.116, 0.602], [0.088, 0.190, 0.204], [0.486, 0.690, 0.102], [0.810, 0.912, 0.296], [0.116, 0.412, 0.102], [0.384, 0.986, 0.796], [0.602, 0.616, 0.412], [0.898, 0.810, 0.514], [0.796, 0.310, 0.912], [0.398, 0.384, 0.588], [0.102, 0.190, 0.486], [0.204, 0.690, 0.088], [0.190, 0.088, 0.704], [0.616, 0.014, 0.204], [0.884, 0.588, 0.898], [0.514, 0.310, 0.898], [0.588, 0.884, 0.398], [0.912, 0.810, 0.796], [0.912, 0.102, 0.616], [0.884, 0.296, 0.486], [0.190, 0.102, 0.986], [0.616, 0.602, 0.912], [0.398, 0.014, 0.310], [0.296, 0.412, 0.810], [0.204, 0.514, 0.616], [0.898, 0.088, 0.884], [0.690, 0.204, 0.588], [0.486, 0.796, 0.884], [0.014, 0.398, 0.810], [0.412, 0.296, 0.310], [0.014, 0.616, 0.704], [0.690, 0.486, 0.602], [0.296, 0.884, 0.986]],
  "final_energy_ev_per_cell": -228.126,
  "space_group": "Ia-3d",
  "e_form_raw_ev_per_atom": -1.04,
  "mass_density_g_cm3": 3.6
}

{
  "formula": "LiMg2Zn",
  "functional": "PBE",
  "state": "optimized geometry",
  "cell": [[-1.236, -5.063, -1.709], [3.017, -1.792, -4.215], [0.313, 1.845, 5.155]],
  "species": ["Zn", "Mg", "Mg", "Li"],
  "frac_coords": [[0.750, 0.250, 0.500], [0.989, 0.989, 0.000], [0.511, 0.511, 0.000], [0.250, 0.750, 0.500]],
  "final_energy_ev_per_cell": -6.577,
  "space_group": "Immm",
  "e_form_mev_per_atom": -50,
  "mass_density_g_cm3": 2.6
}

{
  "formula": "Cs2MoRu",
  "functional": "PBE",
  "state": "optimized geometry",
  "cell": [[-6.971, 6.971, 2.280], [6.971, -6.971, 2.280], [6.971, 6.971, -2.280]],
  "species": ["Cs", "Cs", "Cs", "Cs", "Mo", "Mo", "Ru", "Ru"],
  "frac_coords": [[0.686, 0.375, 0.811], [0.564, 0.875, 0.189], [0.125, 0.314, 0.689], [0.625, 0.436, 0.311], [0.500, 0.500, 0.000], [0.750, 0.250, 0.500], [0.000, 0.000, 0.000], [0.250, 0.750, 0.500]],
  "final_energy_ev_per_cell": -32.483,
  "space_group": "I-42d",
  "e_form_mev_per_atom": 1393,
  "mass_density_g_cm3": 3.5
}

{
  "formula": "Ca4LaPd2",
  "functional": "PBE",
  "state": "optimized geometry",
  "cell": [[6.569, 0.000, 0.000], [0.000, 7.832, -3.140], [0.000, -0.054, 8.210]],
  "species": ["Ca", "Ca", "Ca", "Ca", "Ca", "Ca", "Ca", "Ca", "Pd", "Pd", "Pd", "Pd", "La", "La"],
  "frac_coords": [[0.501, 0.417, 0.765], [0.250, 0.267, 0.343], [0.750, 0.733, 0.657], [0.999, 0.417, 0.765], [0.750, 0.020, 0.391], [0.001, 0.583, 0.235], [0.499, 0.583, 0.235], [0.250, 0.980, 0.609], [0.250, 0.237, 0.977], [0.750, 0.763, 0.023], [0.750, 0.369, 0.398], [0.250, 0.631, 0.602], [0.250, 0.850, 0.978], [0.750, 0.150, 0.022]],
  "final_energy_ev_per_cell": -52.364,
  "space_group": "P2_1/m",
  "e_form_mev_per_atom": -409,
  "mass_density_g_cm3": 4.0
}

{
  "formula": "PrDy3TmTh",
  "functional": "PBE",
  "state": "optimized geometry",
  "cell": [[-4.358, -2.461, -0.758], [1.362, -4.415, 6.505], [-5.392, 9.081, 1.515]],
  "species": ["Pr", "Pr", "Dy", "Dy", "Dy", "Dy", "Dy", "Dy", "Tm", "Tm", "Th", "Th"],
  "frac_coords": [[0.250, 0.124, 0.293], [0.750, 0.876, 0.707], [0.750, 0.868, 0.043], [0.250, 0.132, 0.957], [0.250, 0.627, 0.456], [0.750, 0.373, 0.544], [0.750, 0.384, 0.207], [0.250, 0.616, 0.793], [0.250, 0.129, 0.628], [0.750, 0.871, 0.372], [0.250, 0.620, 0.122], [0.750, 0.380, 0.878]],
  "final_energy_ev_per_cell": -60.610,
  "space_group": "P2_1/m",
  "e_form_mev_per_atom": 29,
  "mass_density_g_cm3": 8.8
}

{
  "formula": "BaLi3Sn",
  "functional": "PBE",
  "state": "optimized geometry",
  "cell": [[7.020, 0.000, 0.000], [0.000, 9.091, 0.308], [0.000, -2.747, 9.118]],
  "species": ["Ba", "Ba", "Ba", "Ba", "Li", "Li", "Li", "Li", "Li", "Li", "Li", "Li", "Li", "Li", "Li", "Li", "Sn", "Sn", "Sn", "Sn"],
  "frac_coords": [[0.075, 0.672, 0.217], [0.925, 0.328, 0.783], [0.575, 0.328, 0.283], [0.425, 0.672, 0.717], [0.229, 0.068, 0.354], [0.771, 0.932, 0.646], [0.729, 0.932, 0.146], [0.271, 0.068, 0.854], [0.517, 0.861, 0.372], [0.483, 0.139, 0.628], [0.017, 0.139, 0.128], [0.983, 0.861, 0.872], [0.942, 0.653, 0.562], [0.058, 0.347, 0.438], [0.442, 0.347, 0.938], [0.558, 0.653, 0.062], [0.159, 0.930, 0.573], [0.841, 0.070, 0.427], [0.659, 0.070, 0.927], [0.341, 0.930, 0.073]],
  "final_energy_ev_per_cell": -51.350,
  "space_group": "P2_1/c",
  "e_form_mev_per_atom": -234,
  "relative_energy_kj_per_mol_atoms": 1.3,
  "mass_density_g_cm3": 3.1
}